Ca2LaPbS: relaxed, GGA-PBEsol.

Computed properties:
**Magnetization**: 0.001 μB per atom
**SG**: No. 123
**VASP energy**: -2.721 eV per atom
**Raw formation energy**: 0.8783 eV/atom

abc: 6.0183 6.0183 5.6931
angles: 90.00 90.00 90.00
Last column: nearest neighbours and their distance in Å.
Element x y z (fractional)
Ca 0.0000 0.5000 0.0000  2 La 3.01
Ca 0.5000 0.0000 0.0000  2 La 3.01
La 0.0000 0.0000 0.0000  2 Pb 2.85, 4 Ca 3.01
Pb 0.0000 0.0000 0.5000  2 La 2.85
S 0.5000 0.5000 0.5000  8 Ca 4.14, 4 Pb 4.26

***

CaLa2TiPb: relaxed, GGA-PBEsol.

Computed properties:
**Magnetization**: 0.000 μB per atom
**SG**: No. 123
**VASP energy**: -4.873 eV per atom
**E_form**: 76 kJ/mol of formula units

abc: 5.3950 5.3950 5.5167
angles: 90.00 90.00 90.00
Last column: nearest neighbours and their distance in Å.
Element x y z (fractional)
Ca 0.0000 0.0000 0.0000  4 Pb 3.81, 8 La 3.86
La 0.0000 0.5000 0.5000  2 Ti 2.70
La 0.5000 0.0000 0.5000  2 Ti 2.70
Ti 0.5000 0.5000 0.5000  4 La 2.70, 2 Pb 2.76
Pb 0.5000 0.5000 0.0000  2 Ti 2.76

***

Ca3LaPd: relaxed, GGA-PBEsol.

Computed properties:
**Magnetization**: 0.000 μB per atom
**SG**: No. 221
**VASP energy**: -3.662 eV per atom
**E_form**: -58 kJ/mol of formula units

abc: 5.5584 5.5584 5.5584
angles: 90.00 90.00 90.00
Last column: nearest neighbours and their distance in Å.
Element x y z (fractional)
Ca 0.0000 0.0000 0.5000  2 Pd 2.78
Ca 0.0000 0.5000 0.0000  2 Pd 2.78
Ca 0.5000 0.0000 0.0000  2 Pd 2.78
La 0.5000 0.5000 0.5000  12 Ca 3.93
Pd 0.0000 0.0000 0.0000  6 Ca 2.78

***

CaLaPt: relaxed, GGA-PBEsol.

Computed properties:
**Magnetization**: 0.000 μB per atom
**SG**: No. 123
**VASP energy**: -5.561 eV per atom
**E_form**: -216 kJ/mol of formula units

abc: 4.0782 4.0782 5.7597
angles: 90.00 90.00 90.00
Last column: nearest neighbours and their distance in Å.
Element x y z (fractional)
Ca 0.0000 0.0000 0.0000  2 Pt 2.88
La 0.5000 0.5000 0.5000  4 Pt 2.88
Pt 0.0000 0.0000 0.5000  2 Ca 2.88, 4 La 2.88

***

Ca2LaPt2: relaxed, GGA-PBEsol.

Computed properties:
**Magnetization**: 0.000 μB per atom
**SG**: No. 127
**VASP energy**: -5.491 eV per atom
**E_form**: -378 kJ/mol of formula units

abc: 7.4851 7.4851 4.3891
angles: 90.00 90.00 90.00
Last column: nearest neighbours and their distance in Å.
Element x y z (fractional)
Ca 0.1615 0.3385 0.0000  6 Pt 3.11, 1 Ca 3.42
Ca 0.3385 0.8385 0.0000  6 Pt 3.11, 1 Ca 3.42
Ca 0.6615 0.1615 0.0000  6 Pt 3.11, 1 Ca 3.42
Ca 0.8385 0.6615 0.0000  6 Pt 3.11, 1 Ca 3.42
La 0.0000 0.0000 0.5000  4 Pt 2.93
La 0.5000 0.5000 0.5000  4 Pt 2.93
Pt 0.1304 0.6304 0.5000  1 Pt 2.76, 2 La 2.93
Pt 0.3696 0.1304 0.5000  1 Pt 2.76, 2 La 2.93
Pt 0.6304 0.8696 0.5000  1 Pt 2.76, 2 La 2.93
Pt 0.8696 0.3696 0.5000  1 Pt 2.76, 2 La 2.93

***

CaLaPt: relaxed, GGA-PBEsol.

Computed properties:
**Magnetization**: 0.000 μB per atom
**SG**: No. 216
**VASP energy**: -5.496 eV per atom
**E_form**: -197 kJ/mol of formula units

abc: 4.9453 4.9453 4.9453
angles: 60.00 60.00 60.00
Last column: nearest neighbours and their distance in Å.
Element x y z (fractional)
Ca 0.0000 0.0000 0.0000  4 Pt 3.03
La 0.5000 0.5000 0.5000  4 Pt 3.03
Pt 0.7500 0.7500 0.7500  4 Ca 3.03, 4 La 3.03

***

CaLa2Pt2: relaxed, GGA-PBEsol.

Computed properties:
**Magnetization**: 0.000 μB per atom
**SG**: No. 127
**VASP energy**: -6.253 eV per atom
**E_form**: -436 kJ/mol of formula units

abc: 7.9282 7.9282 4.0391
angles: 90.00 90.00 90.00
Last column: nearest neighbours and their distance in Å.
Element x y z (fractional)
Ca 0.0000 0.0000 0.0000  4 Pt 3.07
Ca 0.5000 0.5000 0.0000  4 Pt 3.07
La 0.1598 0.3402 0.5000  6 Pt 3.04-3.11
La 0.3402 0.8402 0.5000  6 Pt 3.04-3.11
La 0.6598 0.1598 0.5000  6 Pt 3.04-3.11
La 0.8402 0.6598 0.5000  6 Pt 3.04-3.11
Pt 0.1374 0.6374 0.0000  6 La 3.04-3.11, 2 Ca 3.07, 1 Pt 3.08
Pt 0.3626 0.1374 0.0000  6 La 3.04-3.11, 2 Ca 3.07, 1 Pt 3.08
Pt 0.6374 0.8626 0.0000  6 La 3.04-3.11, 2 Ca 3.07, 1 Pt 3.08
Pt 0.8626 0.3626 0.0000  6 La 3.04-3.11, 2 Ca 3.07, 1 Pt 3.08

***

RbCaLa2: relaxed, GGA-PBEsol.

Computed properties:
**Magnetization**: 0.000 μB per atom
**SG**: No. 225
**VASP energy**: -2.928 eV per atom
**E_form**: 206 kJ/mol of formula units

abc: 6.1690 6.1690 6.1690
angles: 60.00 60.00 60.00
Last column: nearest neighbours and their distance in Å.
Element x y z (fractional)
Rb 0.0000 0.0000 0.0000  8 La 3.78
Ca 0.5000 0.5000 0.5000  8 La 3.78
La 0.2500 0.2500 0.2500  4 Ca 3.78, 4 Rb 3.78
La 0.7500 0.7500 0.7500  4 Ca 3.78, 4 Rb 3.78

***

Rb2CaLaSi: relaxed, GGA-PBEsol.

Computed properties:
**Magnetization**: 0.000 μB per atom
**SG**: No. 123
**VASP energy**: -2.630 eV per atom
**Raw formation energy**: 0.4250 eV/atom

abc: 6.7963 6.7963 5.6396
angles: 90.00 90.00 90.00
Last column: nearest neighbours and their distance in Å.
Element x y z (fractional)
Rb 0.0000 0.5000 0.0000  2 Si 3.40
Rb 0.5000 0.0000 0.0000  2 Si 3.40
Ca 0.0000 0.0000 0.5000  8 Rb 4.42, 4 La 4.81
La 0.5000 0.5000 0.5000  2 Si 2.82
Si 0.5000 0.5000 0.0000  2 La 2.82

***

CaLaRe2: relaxed, GGA-PBEsol.

Computed properties:
**Magnetization**: 0.000 μB per atom
**SG**: No. 123
**VASP energy**: -7.600 eV per atom
**E_form**: 361 kJ/mol of formula units

abc: 3.9178 3.9178 6.2998
angles: 90.00 90.00 90.00
Last column: nearest neighbours and their distance in Å.
Element x y z (fractional)
Ca 0.0000 0.0000 0.0000  2 La 3.15, 8 Re 3.41
La 0.0000 0.0000 0.5000  8 Re 3.00, 2 Ca 3.15
Re 0.5000 0.5000 0.3155  1 Re 2.32
Re 0.5000 0.5000 0.6845  1 Re 2.32

***

CaLaRe2: relaxed, GGA-PBEsol.

Computed properties:
**Magnetization**: 0.000 μB per atom
**SG**: No. 65
**VASP energy**: -7.703 eV per atom
**E_form**: 321 kJ/mol of formula units

abc: 2.8639 2.8639 9.9772
angles: 90.00 90.00 109.77
Last column: nearest neighbours and their distance in Å.
Element x y z (fractional)
Ca 0.0000 0.0000 0.0000  4 Ca 2.86, 4 Re 2.96
La 0.0000 0.0000 0.5000  4 La 2.86, 4 Re 3.01
Re 0.5000 0.5000 0.2471  4 Re 2.86, 2 Ca 2.96, 2 La 3.01
Re 0.5000 0.5000 0.7529  4 Re 2.86, 2 Ca 2.96, 2 La 3.01

***

CaLa2ScRe: relaxed, GGA-PBEsol.

Computed properties:
**Magnetization**: 0.000 μB per atom
**SG**: No. 123
**VASP energy**: -5.637 eV per atom
**E_form**: 441 kJ/mol of formula units

abc: 5.6820 5.6820 4.7153
angles: 90.00 90.00 90.00
Last column: nearest neighbours and their distance in Å.
Element x y z (fractional)
Ca 0.0000 0.0000 0.0000  8 La 3.69, 4 Re 4.02
La 0.0000 0.5000 0.5000  2 Sc 2.84
La 0.5000 0.0000 0.5000  2 Sc 2.84
Sc 0.5000 0.5000 0.5000  2 Re 2.36
Re 0.5000 0.5000 0.0000  2 Sc 2.36

***

CaLa2Rh2: relaxed, GGA-PBEsol.

Computed properties:
**Magnetization**: 0.000 μB per atom
**SG**: No. 127
**VASP energy**: -6.335 eV per atom
**E_form**: -248 kJ/mol of formula units

abc: 7.9235 7.9235 3.8398
angles: 90.00 90.00 90.00
Last column: nearest neighbours and their distance in Å.
Element x y z (fractional)
Ca 0.0000 0.0000 0.0000  4 Rh 3.06
Ca 0.5000 0.5000 0.0000  4 Rh 3.06
La 0.1548 0.3452 0.5000  6 Rh 2.99-3.03
La 0.3452 0.8452 0.5000  6 Rh 2.99-3.03
La 0.6548 0.1548 0.5000  6 Rh 2.99-3.03
La 0.8452 0.6548 0.5000  6 Rh 2.99-3.03
Rh 0.1411 0.6411 0.0000  6 La 2.99-3.03, 2 Ca 3.06, 1 Rh 3.16
Rh 0.3589 0.1411 0.0000  6 La 2.99-3.03, 2 Ca 3.06, 1 Rh 3.16
Rh 0.6411 0.8589 0.0000  6 La 2.99-3.03, 2 Ca 3.06, 1 Rh 3.16
Rh 0.8589 0.3589 0.0000  6 La 2.99-3.03, 2 Ca 3.06, 1 Rh 3.16

***

CaLaRh: relaxed, GGA-PBEsol.

Computed properties:
**Magnetization**: 0.000 μB per atom
**SG**: No. 42
**VASP energy**: -5.587 eV per atom
**E_form**: -110 kJ/mol of formula units

abc: 7.1011 7.0998 3.4878
angles: 75.80 75.76 28.44
Last column: nearest neighbours and their distance in Å.
Element x y z (fractional)
Ca 0.0000 0.0000 0.0000  4 Rh 3.06-3.07, 1 La 3.35
La 0.2513 0.2513 0.7487  4 Rh 2.90
Rh 0.6367 0.6367 0.3633  4 La 2.90, 4 Ca 3.06-3.07

***

CaLa2Rh2: relaxed, GGA-PBEsol.

Computed properties:
**Magnetization**: 0.000 μB per atom
**SG**: No. 139
**VASP energy**: -6.128 eV per atom
**E_form**: -148 kJ/mol of formula units

abc: 6.4012 6.4012 6.4012
angles: 134.84 134.84 65.78
Last column: nearest neighbours and their distance in Å.
Element x y z (fractional)
Ca 0.0000 0.0000 0.0000  8 La 3.64, 10 Rh 3.71-4.08
La 0.2500 0.7500 0.5000  4 Rh 2.82
La 0.7500 0.2500 0.5000  4 Rh 2.82
Rh 0.3794 0.3794 0.0000  1 Rh 2.59, 4 La 2.82
Rh 0.6206 0.6206 0.0000  1 Rh 2.59, 4 La 2.82

***

CaLaRh: relaxed, GGA-PBEsol.

Computed properties:
**Magnetization**: 0.000 μB per atom
**SG**: No. 156
**VASP energy**: -5.578 eV per atom
**E_form**: -108 kJ/mol of formula units

abc: 4.0330 4.0330 6.5098
angles: 90.00 90.00 120.00
Last column: nearest neighbours and their distance in Å.
Element x y z (fractional)
Ca 0.0000 0.0000 0.0000  3 Rh 2.88
La 0.3333 0.6667 0.4757  3 Rh 2.72
Rh 0.6667 0.3333 0.2601  3 La 2.72, 3 Ca 2.88

***

CaLaRh2: relaxed, GGA-PBEsol.

Computed properties:
**Magnetization**: 0.000 μB per atom
**SG**: No. 123
**VASP energy**: -6.387 eV per atom
**E_form**: -173 kJ/mol of formula units

abc: 4.7330 4.7330 3.6072
angles: 90.00 90.00 90.00
Last column: nearest neighbours and their distance in Å.
Element x y z (fractional)
Ca 0.0000 0.0000 0.0000  8 Rh 2.98
La 0.5000 0.5000 0.0000  8 Rh 2.98
Rh 0.0000 0.5000 0.5000  4 La 2.98, 4 Ca 2.98
Rh 0.5000 0.0000 0.5000  4 La 2.98, 4 Ca 2.98

***

CaLa4Rh: relaxed, GGA-PBEsol.

Computed properties:
**Magnetization**: 0.000 μB per atom
**SG**: No. 216
**VASP energy**: -4.764 eV per atom
**E_form**: 297 kJ/mol of formula units

abc: 6.3258 6.3258 6.3258
angles: 60.00 60.00 60.00
Last column: nearest neighbours and their distance in Å.
Element x y z (fractional)
Ca 0.0000 0.0000 0.0000  12 La 3.72, 4 Rh 3.87
La 0.1349 0.6217 0.6217  6 La 3.08-3.25
La 0.6217 0.1349 0.6217  6 La 3.08-3.25
La 0.6217 0.6217 0.1349  6 La 3.08-3.25
La 0.6217 0.6217 0.6217  6 La 3.08-3.25
Rh 0.2500 0.2500 0.2500  12 La 3.70, 4 Ca 3.87

***

CaLaRu4: relaxed, GGA-PBEsol.

Computed properties:
**Magnetization**: 0.118 μB per atom
**SG**: No. 216
**VASP energy**: -7.941 eV per atom
**E_form**: 50 kJ/mol of formula units

abc: 5.3243 5.3243 5.3243
angles: 60.00 60.00 60.00
Last column: nearest neighbours and their distance in Å.
Element x y z (fractional)
Ca 0.0000 0.0000 0.0000  12 Ru 3.12, 4 La 3.26
La 0.7500 0.7500 0.7500  12 Ru 3.12, 4 Ca 3.26
Ru 0.3747 0.3747 0.3747  6 Ru 2.66-2.67
Ru 0.3747 0.3747 0.8758  6 Ru 2.66-2.67
Ru 0.3747 0.8758 0.3747  6 Ru 2.66-2.67
Ru 0.8758 0.3747 0.3747  6 Ru 2.66-2.67

***

CaLaRu2: relaxed, GGA-PBEsol.

Computed properties:
**Magnetization**: 0.000 μB per atom
**SG**: No. 38
**VASP energy**: -6.880 eV per atom
**E_form**: 29 kJ/mol of formula units

abc: 4.2747 5.5078 5.5078
angles: 47.99 90.00 90.00
Last column: nearest neighbours and their distance in Å.
Element x y z (fractional)
Ca 0.0000 0.0000 0.0000  7 Ru 2.98-3.25
La 0.5000 0.2880 0.2880  7 Ru 2.94-3.23
Ru 0.0000 0.6949 0.6949  2 Ru 2.34
Ru 0.5000 0.5995 0.5995  2 Ru 2.34